[1]
! Tm7Sb2Ru2 PBE optimized geometry; values from VASP
&SYSTEM
  ibrav = 0, nat = 11, ntyp = 3
/
ATOMIC_SPECIES
Tm 168.93 Tm.upf
Sb 121.76 Sb.upf
Ru 101.07 Ru.upf
ATOMIC_POSITIONS crystal
Tm 0.8146 0.0822 0.2886
Tm 0.8499 0.4206 0.8796
Tm 0.5000 0.0168 0.9832
Tm 0.6307 0.4772 0.2615
Tm 0.3693 0.7385 0.5228
Tm 0.1854 0.7114 0.9178
Tm 0.1501 0.1204 0.5794
Sb 0.0000 0.7633 0.2367
Sb 0.5000 0.3506 0.6494
Ru 0.7392 0.8472 0.6743
Ru 0.2608 0.3257 0.1528
CELL_PARAMETERS angstrom
-1.7477 2.1931 2.8930
-8.7658 0.3962 -2.7902
-6.3524 -5.7679 3.3404
! DOS(E_F): 8.05 states/eV/cell
! crystal system: orthorhombic
! E_form (uncorrected): -0.599 eV per atom

=====

[2]
! K4PrPa3O12 PBE optimized geometry; values from VASP
&SYSTEM
  ibrav = 0, nat = 20, ntyp = 4
/
ATOMIC_SPECIES
K 39.10 K.upf
Pr 140.91 Pr.upf
Pa 231.04 Pa.upf
O 16.00 O.upf
ATOMIC_POSITIONS crystal
K 0.5000 0.5000 0.5000
K 0.0000 0.0000 0.5000
K 0.5000 0.0000 0.0000
K 0.0000 0.5000 0.0000
Pr 0.0000 0.0000 0.0000
Pa 0.5000 0.0000 0.5000
Pa 0.5000 0.5000 0.0000
Pa 0.0000 0.5000 0.5000
O 0.2500 0.5000 0.7500
O 0.7339 0.0000 0.7339
O 0.2661 0.0000 0.2661
O 0.7500 0.5000 0.2500
O 0.7339 0.7339 0.0000
O 0.2661 0.2661 0.0000
O 0.7500 0.2500 0.5000
O 0.2500 0.7500 0.5000
O 0.5000 0.2500 0.7500
O 0.0000 0.7339 0.7339
O 0.5000 0.7500 0.2500
O 0.0000 0.2661 0.2661
CELL_PARAMETERS angstrom
-0.6572 7.5138 1.4396
-6.9752 -3.2093 -0.0859
4.2645 -3.2911 5.4721
! DOS(E_F): 18.43 states/eV/cell
! crystal system: cubic
! E_form (uncorrected): -2.826 eV per atom

=====

[3]
! TaMoAu2 PBE optimized geometry; values from VASP
&SYSTEM
  ibrav = 0, nat = 4, ntyp = 3
/
ATOMIC_SPECIES
Au 196.97 Au.upf
Mo 95.94 Mo.upf
Ta 180.95 Ta.upf
ATOMIC_POSITIONS crystal
Au 0.9989 0.9989 0.9989
Au 0.5011 0.5011 0.5011
Mo 0.2500 0.2500 0.2500
Ta 0.7500 0.7500 0.7500
CELL_PARAMETERS angstrom
9.6949 -0.0274 -0.0161
9.2710 2.8353 -0.0161
9.2710 1.3726 2.4810
! DOS(E_F): 2.57 states/eV/cell
! crystal system: trigonal
! offset from the most stable computed form: 0.1930 eV per atom
! formation energy from the elements: 222 meV per atom

=====

- Look up the DOS(E_F) of the second one.
  18.43 states/eV/cell

=====

- The lowest DOS(E_F) belongs to which entry?
  TaMoAu2